No. 1
DFT (PBE) results for a relaxed SrFeSbI2 crystal.

Calculated values
D(E_F)   0.945 states/eV per atom
Uncorrected formation energy   -18.5 kJ per mole of atoms
Total DFT energy (no corrections)   -18.3 eV per cell
Crystal system   tetragonal
Mass density   5.70 g/cm3
Calculated volume   30.254 Å³ per atom

a b c (Å): 5.5709 5.5709 4.8742
angles (deg): 90.00 90.00 90.00
With the nearest neighbours (Å) after each atom.
Fractional positions:
Sr  0.0000  0.0000  0.0000  8 I 3.70, 4 Sb 3.94
Fe  0.5000  0.5000  0.5000  2 Sb 2.44
Sb  0.5000  0.5000  0.0000  2 Fe 2.44
I  0.0000  0.5000  0.5000  2 Fe 2.79
I  0.5000  0.0000  0.5000  2 Fe 2.79

***

No. 2
DFT (PBE) results for a relaxed Hf4TiN4 crystal.

Calculated values
D(E_F)   0.493 states/eV per atom
Uncorrected formation energy   -153.5 kJ per mole of atoms
Total DFT energy (no corrections)   -95.3 eV per cell
Crystal system   tetragonal
Mass density   12.01 g/cm3
Calculated volume   12.561 Å³ per atom

a b c (Å): 5.4767 5.4767 5.4767
angles (deg): 99.98 99.98 130.81
With the nearest neighbours (Å) after each atom.
Fractional positions:
Hf  0.1063  0.3047  0.4110  5 N 2.17-2.28
Hf  0.3047  0.8937  0.1984  5 N 2.17-2.28
Hf  0.6953  0.1063  0.8016  5 N 2.17-2.28
Hf  0.8937  0.6953  0.5890  5 N 2.17-2.28
Ti  0.5000  0.5000  0.0000  4 N 2.21
N  0.2018  0.5984  0.8001  5 Hf 2.17-2.28, 1 Ti 2.21
N  0.4016  0.2018  0.6034  5 Hf 2.17-2.28, 1 Ti 2.21
N  0.5984  0.7982  0.3966  5 Hf 2.17-2.28, 1 Ti 2.21
N  0.7982  0.4016  0.1999  5 Hf 2.17-2.28, 1 Ti 2.21

***

No. 3
DFT (PBE) results for a relaxed MnAlAg crystal.

Calculated values
D(E_F)   0.550 states/eV per atom
Calculated formation energy   0.34 eV per formula unit
Total DFT energy (no corrections)   -15.4 eV per cell
Crystal system   trigonal
Mass density   6.65 g/cm3
Calculated volume   15.799 Å³ per atom

a b c (Å): 2.8494 2.8494 6.7411
angles (deg): 90.00 90.00 120.00
With the nearest neighbours (Å) after each atom.
Fractional positions:
Mn  0.0000  0.0000  0.0000  3 Al 2.63, 6 Mn 2.85, 3 Ag 2.86
Al  0.6667  0.3333  0.6953  3 Mn 2.63, 6 Al 2.85, 3 Ag 2.86
Ag  0.3333  0.6667  0.3477  6 Ag 2.85, 3 Mn 2.86, 3 Al 2.86

***

No. 4
DFT (PBE) results for a relaxed LiPdN crystal.

Calculated values
D(E_F)   0.199 states/eV per atom
Uncorrected formation energy   -11.0 kJ per mole of atoms
Total DFT energy (no corrections)   -63.1 eV per cell
Crystal system   tetragonal
Mass density   5.51 g/cm3
Calculated volume   12.798 Å³ per atom

a b c (Å): 3.3035 3.3035 14.0724
angles (deg): 90.00 90.00 90.00
With the nearest neighbours (Å) after each atom.
Fractional positions:
Li  0.0000  0.0000  0.1154  4 N 2.55, 5 Pd 2.55-2.76
Li  0.0000  0.0000  0.8846  4 N 2.55, 5 Pd 2.55-2.76
Li  0.5000  0.5000  0.3846  4 N 2.55, 5 Pd 2.55-2.76
Li  0.5000  0.5000  0.6154  4 N 2.55, 5 Pd 2.55-2.76
Pd  0.0000  0.0000  0.3114  1 N 2.06
Pd  0.0000  0.0000  0.6886  1 N 2.06
Pd  0.5000  0.5000  0.1886  1 N 2.06
Pd  0.5000  0.5000  0.8114  1 N 2.06
N  0.0000  0.0000  0.4576  1 N 1.19
N  0.0000  0.0000  0.5424  1 N 1.19
N  0.5000  0.5000  0.0424  1 N 1.19
N  0.5000  0.5000  0.9576  1 N 1.19

***

No. 5
DFT (PBE) results for a relaxed CaMn2Au crystal.

Calculated values
D(E_F)   1.014 states/eV per atom
Calculated formation energy   0.77 eV per formula unit
Total DFT energy (no corrections)   -22.8 eV per cell
Crystal system   tetragonal
Mass density   7.59 g/cm3
Calculated volume   18.984 Å³ per atom

a b c (Å): 4.1217 4.1217 4.4697
angles (deg): 90.00 90.00 90.00
With the nearest neighbours (Å) after each atom.
Fractional positions:
Ca  0.0000  0.0000  0.0000  4 Au 2.91, 8 Mn 3.04
Mn  0.0000  0.5000  0.5000  4 Mn 2.91, 4 Ca 3.04, 4 Au 3.04
Mn  0.5000  0.0000  0.5000  4 Mn 2.91, 4 Ca 3.04, 4 Au 3.04
Au  0.5000  0.5000  0.0000  4 Ca 2.91, 8 Mn 3.04

***

No. 6
DFT (PBE) results for a relaxed Li3Hf3CoS8 crystal.

Calculated values
D(E_F)   0.349 states/eV per atom
Uncorrected formation energy   -126.6 kJ per mole of atoms
Total DFT energy (no corrections)   -95.4 eV per cell
Crystal system   monoclinic
Mass density   5.29 g/cm3
Calculated volume   18.242 Å³ per atom

a b c (Å): 7.1454 7.1454 7.4424
angles (deg): 118.72 118.72 59.94
With the nearest neighbours (Å) after each atom.
Fractional positions:
Li  0.0000  0.0000  0.0000  6 S 2.59-2.62
Li  0.0000  0.5000  0.0000  6 S 2.59-2.62
Li  0.5000  0.0000  0.0000  6 S 2.59-2.62
Hf  0.0000  0.5000  0.5000  6 S 2.54-2.57
Hf  0.5000  0.0000  0.5000  6 S 2.54-2.57
Hf  0.5000  0.5000  0.5000  6 S 2.54-2.57
Co  0.0000  0.0000  0.5000  6 S 2.45
S  0.2374  0.7560  0.7310  1 Co 2.45, 2 Hf 2.54, 2 Li 2.62
S  0.2379  0.2379  0.7314  1 Co 2.45, 2 Hf 2.54, 2 Li 2.62
S  0.2440  0.7626  0.2690  1 Co 2.45, 2 Hf 2.54, 2 Li 2.62
S  0.2512  0.2512  0.2532  3 Hf 2.57, 3 Li 2.59
S  0.7488  0.7488  0.7468  3 Hf 2.57, 3 Li 2.59
S  0.7560  0.2374  0.7310  1 Co 2.45, 2 Hf 2.54, 2 Li 2.62
S  0.7621  0.7621  0.2686  1 Co 2.45, 2 Hf 2.54, 2 Li 2.62
S  0.7626  0.2440  0.2690  1 Co 2.45, 2 Hf 2.54, 2 Li 2.62